Below is Ba4Tl2H after structural relaxation, with properties calculated at the GGA-PBE level.

Properties
uncorrected energy = -36.0 eV/cell
space group = P2_1/m, No. 11

extended XYZ file:
```
14
Lattice="-2.511 -7.169 -2.747 7.693 -1.865 -2.164 2.078 -1.527 8.703" Properties=species:S:1:pos:R:3 pbc="T T T"
Ba 3.216 -5.116 -0.227
Ba 7.412 -3.693 6.189
Ba -0.151 -6.868 -2.397
Ba 6.811 -5.988 -1.238
Ba 0.869 -8.180 2.356
Ba 0.450 -4.573 5.030
Ba 4.045 -5.444 4.019
Ba 6.392 -2.381 1.436
Tl 3.990 -6.551 -3.511
Tl 3.271 -4.010 7.303
Tl 2.139 -2.712 2.161
Tl 5.122 -7.849 1.631
H 5.475 -3.876 -0.536
H 1.786 -6.685 4.328
```